# 1
Here is a relaxed structure of RbBa2TlS4 from Alexandria via LeMat-Bulk. Energies are from GGA-PBE.

Summary:
* total energy: -4.13 eV/atom
* raw formation energy: -1173 meV/atom

Geometry as CIF:
```
data_RbBa2TlS4
_chemical_formula_sum 'Rb4 Ba8 Tl4 S16'
_symmetry_space_group_name_H-M 'I m m a'
_symmetry_Int_Tables_number 74
_symmetry_space_group_name_Hall '-I 2b 2'
_cell_length_a 9.0145
_cell_length_b 9.2293
_cell_length_c 12.4009
_cell_angle_alpha 90.00
_cell_angle_beta 90.00
_cell_angle_gamma 90.00
loop_
_atom_site_label
_atom_site_type_symbol
_atom_site_fract_x
_atom_site_fract_y
_atom_site_fract_z
Rb1 Rb 0.2500 0.2500 0.2500
Ba1 Ba 0.0000 0.0000 0.0000
Ba2 Ba 0.2500 0.2500 0.7500
Tl1 Tl 0.0000 0.0000 0.5000
S1 S 0.0000 0.0101 0.7035
S2 S 0.2367 0.2500 0.9954
```

***

# 2
Here is a relaxed structure of Ba6MgGa from Alexandria via LeMat-Bulk. Energies are from GGA-PBE.

Summary:
* energy of formation: -0.085 eV/atom
* total energy: -2.11 eV/atom

Geometry as CIF:
```
data_Ba6MgGa
_chemical_formula_sum 'Ba12 Mg2 Ga2'
_symmetry_space_group_name_H-M 'I 4/m m m'
_symmetry_Int_Tables_number 139
_symmetry_space_group_name_Hall '-I 4 2'
_cell_length_a 6.0677
_cell_length_b 6.0677
_cell_length_c 22.0144
_cell_angle_alpha 90.00
_cell_angle_beta 90.00
_cell_angle_gamma 90.00
loop_
_atom_site_label
_atom_site_type_symbol
_atom_site_fract_x
_atom_site_fract_y
_atom_site_fract_z
Ba1 Ba 0.0000 0.0000 0.2492
Ba2 Ba 0.0000 0.5000 0.0906
Mg1 Mg 0.0000 0.0000 0.5000
Ga1 Ga 0.0000 0.0000 0.0000
```

***

# 3
Here is a relaxed structure of Co2IrSe from Alexandria via LeMat-Bulk. Energies are from GGA-PBE.

Summary:
* total energy: -6.28 eV/atom
* raw formation energy: 357 meV/atom

Geometry as CIF:
```
data_Co2IrSe
_chemical_formula_sum 'Co4 Ir2 Se2'
_symmetry_space_group_name_H-M 'I -4 m 2'
_symmetry_Int_Tables_number 119
_symmetry_space_group_name_Hall 'I -4 -2'
_cell_length_a 3.7645
_cell_length_b 3.7645
_cell_length_c 7.4837
_cell_angle_alpha 90.00
_cell_angle_beta 90.00
_cell_angle_gamma 90.00
loop_
_atom_site_label
_atom_site_type_symbol
_atom_site_fract_x
_atom_site_fract_y
_atom_site_fract_z
Co1 Co 0.0000 0.0000 0.0000
Co2 Co 0.0000 0.5000 0.2500
Ir1 Ir 0.0000 0.5000 0.7500
Se1 Se 0.0000 0.0000 0.5000
```

***

# 4
Here is a relaxed structure of Tb2TiNi from Alexandria via LeMat-Bulk. Energies are from GGA-PBE.

Summary:
* energy of formation: -0.030 eV/atom
* ΔE to the lowest computed polymorph: 0 meV/atom
* total energy: -5.76 eV/atom

Geometry as CIF:
```
data_Tb2TiNi
_chemical_formula_sum 'Tb2 Ti1 Ni1'
_symmetry_space_group_name_H-M 'P 4/m m m'
_symmetry_Int_Tables_number 123
_symmetry_space_group_name_Hall '-P 4 2'
_cell_length_a 3.4147
_cell_length_b 3.4147
_cell_length_c 7.4694
_cell_angle_alpha 90.00
_cell_angle_beta 90.00
_cell_angle_gamma 90.00
loop_
_atom_site_label
_atom_site_type_symbol
_atom_site_fract_x
_atom_site_fract_y
_atom_site_fract_z
Tb1 Tb 0.0000 0.0000 0.2209
Ti1 Ti 0.5000 0.5000 0.5000
Ni1 Ni 0.5000 0.5000 0.0000
```

***

# 5
Here is a relaxed structure of NdTh2P2Rh7 from Alexandria via LeMat-Bulk. Energies are from GGA-PBE.

Summary:
* energy of formation: -0.928 eV/atom
* total energy: -7.75 eV/atom

Geometry as CIF:
```
data_NdTh2P2Rh7
_chemical_formula_sum 'Nd2 Th4 P4 Rh14'
_symmetry_space_group_name_H-M 'C 1 2/m 1'
_symmetry_Int_Tables_number 12
_symmetry_space_group_name_Hall '-C 2y'
_cell_length_a 5.7393
_cell_length_b 5.6941
_cell_length_c 13.5604
_cell_angle_alpha 90.00
_cell_angle_beta 98.20
_cell_angle_gamma 90.00
loop_
_atom_site_label
_atom_site_type_symbol
_atom_site_fract_x
_atom_site_fract_y
_atom_site_fract_z
Nd1 Nd 0.0000 0.0000 0.0000
Th1 Th 0.1091 0.0000 0.3511
P1 P 0.0846 0.5000 0.2509
Rh1 Rh 0.0000 0.5000 0.0000
Rh2 Rh 0.1276 0.5000 0.4226
Rh3 Rh 0.1942 0.2503 0.8327
```

***

# 6
Here is a relaxed structure of SbPbC2Br from Alexandria via LeMat-Bulk. Energies are from GGA-PBE.

Summary:
* total energy: -3.02 eV/atom
* raw formation energy: 2567 meV/atom

Geometry as CIF:
```
data_SbPbC2Br
_chemical_formula_sum 'Sb1 Pb1 C2 Br1'
_symmetry_space_group_name_H-M 'P 4/m m m'
_symmetry_Int_Tables_number 123
_symmetry_space_group_name_Hall '-P 4 2'
_cell_length_a 4.5863
_cell_length_b 4.5863
_cell_length_c 5.4648
_cell_angle_alpha 90.00
_cell_angle_beta 90.00
_cell_angle_gamma 90.00
loop_
_atom_site_label
_atom_site_type_symbol
_atom_site_fract_x
_atom_site_fract_y
_atom_site_fract_z
Sb1 Sb 0.0000 0.0000 0.0000
Pb1 Pb 0.5000 0.5000 0.0000
C1 C 0.0000 0.5000 0.5000
Br1 Br 0.0000 0.0000 0.5000
```

***

# 7
Here is a relaxed structure of AcZn2InPd from Alexandria via LeMat-Bulk. Energies are from GGA-PBE.

Summary:
* energy of formation: -0.489 eV/atom
* total energy: -3.41 eV/atom

Geometry as CIF:
```
data_AcZn2InPd
_chemical_formula_sum 'Ac2 Zn4 In2 Pd2'
_symmetry_space_group_name_H-M 'I m m 2'
_symmetry_Int_Tables_number 44
_symmetry_space_group_name_Hall 'I 2 -2'
_cell_length_a 4.2489
_cell_length_b 4.4203
_cell_length_c 12.0181
_cell_angle_alpha 90.00
_cell_angle_beta 90.00
_cell_angle_gamma 90.00
loop_
_atom_site_label
_atom_site_type_symbol
_atom_site_fract_x
_atom_site_fract_y
_atom_site_fract_z
Ac1 Ac 0.0000 0.0000 0.0000
Zn1 Zn 0.0000 0.0000 0.6146
Zn2 Zn 0.0000 0.5000 0.2589
In1 In 0.0000 0.5000 0.7526
Pd1 Pd 0.0000 0.0000 0.3986
```

***

# 8
Here is a relaxed structure of NaSn3Pd4 from Alexandria via LeMat-Bulk. Energies are from GGA-PBE.

Summary:
* energy of formation: -0.399 eV/atom
* total energy: -4.66 eV/atom

Geometry as CIF:
```
data_NaSn3Pd4
_chemical_formula_sum 'Na2 Sn6 Pd8'
_symmetry_space_group_name_H-M 'P m n 21'
_symmetry_Int_Tables_number 31
_symmetry_space_group_name_Hall 'P 2ac -2'
_cell_length_a 9.9772
_cell_length_b 5.6649
_cell_length_c 5.2944
_cell_angle_alpha 90.00
_cell_angle_beta 90.00
_cell_angle_gamma 90.00
loop_
_atom_site_label
_atom_site_type_symbol
_atom_site_fract_x
_atom_site_fract_y
_atom_site_fract_z
Na1 Na 0.0000 0.0049 0.0000
Sn1 Sn 0.0000 0.3194 0.5097
Sn2 Sn 0.2352 0.6788 0.7027
Pd1 Pd 0.0000 0.5065 0.0144
Pd2 Pd 0.0000 0.8179 0.4949
Pd3 Pd 0.2410 0.1716 0.7037
```